i) Entry from Alexandria via LeMat-Bulk: crystalline Tc2H2Pd at its relaxed geometry (PBE).

Unit cell a=3.4515 b=3.4515 c=4.8636 alpha=69.22 beta=69.22 gamma=90.00
Site moments in Bohr magnetons follow the coordinates.
Sites, in units of the cell vectors:
H 0.2500 0.7500 0.5000  0.00
H 0.7500 0.2500 0.5000  0.00
Tc 0.3424 0.3424 0.3152  0.49
Tc 0.6576 0.6576 0.6848  0.49
Pd 0.0000 0.0000 0.0000  0.05


ii) Entry from Alexandria via LeMat-Bulk: crystalline Tc2H2Pd at its relaxed geometry (PBE).

Unit cell a=5.9707 b=5.9707 c=2.8957 alpha=90.00 beta=90.00 gamma=90.00
Sites, in units of the cell vectors:
Pd 0.0000 0.0000 0.0000
Pd 0.5000 0.5000 0.0000
H 0.7873 0.7127 0.0000
H 0.2873 0.7873 0.0000
H 0.2127 0.2873 0.0000
H 0.7127 0.2127 0.0000
Tc 0.6342 0.8658 0.5000
Tc 0.3658 0.1342 0.5000
Tc 0.1342 0.6342 0.5000
Tc 0.8658 0.3658 0.5000


Stability, lowest: ii)